No. 1
The following is a DFT calculation (PBE) of a relaxed Ac2SnAs4 crystal.

The structure in CIF format:
```
data_Ac2SnAs4
_space_group_name_H-M_alt 'P -4 m 2'
_space_group_IT_number 115
_cell_length_a 4.175
_cell_length_b 4.175
_cell_length_c 11.582
_cell_angle_alpha 90.00
_cell_angle_beta 90.00
_cell_angle_gamma 90.00
loop_
_space_group_symop_operation_xyz
'x,y,z'
'y,-x,-z'
'-x,-y,z'
'-y,x,-z'
'-x,y,z'
'-y,-x,-z'
'x,-y,z'
'y,x,-z'
loop_
_atom_site_label
_atom_site_type_symbol
_atom_site_fract_x
_atom_site_fract_y
_atom_site_fract_z
_atom_site_occupancy
Ac1 Ac 0.000 0.500 0.216 1
Sn1 Sn 0.000 0.000 0.500 1
As1 As 0.000 0.000 0.000 1
As2 As 0.000 0.500 0.671 1
As3 As 0.500 0.500 0.000 1
```

ΔE_f: -5.4 eV/f.u.


No. 2
The following is a DFT calculation (PBE) of a relaxed AcSn2As crystal.

The structure in CIF format:
```
data_AcSn2As
_space_group_name_H-M_alt 'P 4/m m m'
_space_group_IT_number 123
_space_group_name_Hall '-P 4 2'
_cell_length_a 4.571
_cell_length_b 4.571
_cell_length_c 5.351
_cell_angle_alpha 90.00
_cell_angle_beta 90.00
_cell_angle_gamma 90.00
loop_
_atom_site_label
_atom_site_type_symbol
_atom_site_fract_x
_atom_site_fract_y
_atom_site_fract_z
_atom_site_occupancy
Ac1 Ac 0.000 0.000 0.000 1
Sn1 Sn 0.000 0.500 0.500 1
As1 As 0.500 0.500 0.000 1
```

offset from the most stable computed form: 0.000 eV/atom
ΔE_f: -2.2 eV/f.u.


No. 3
The following is a DFT calculation (PBE) of a relaxed Ac6Sn2Te3As crystal.

The structure in CIF format:
```
data_Ac6Sn2Te3As
_space_group_name_H-M_alt 'C 1 2/m 1'
_space_group_IT_number 12
_cell_length_a 20.748
_cell_length_b 4.757
_cell_length_c 9.524
_cell_angle_alpha 90.00
_cell_angle_beta 103.45
_cell_angle_gamma 90.00
loop_
_space_group_symop_operation_xyz
'x,y,z'
'-x,-y,-z'
'-x,y,-z'
'x,-y,z'
'x+1/2,y+1/2,z'
'-x+1/2,-y+1/2,-z'
'-x+1/2,y+1/2,-z'
'x+1/2,-y+1/2,z'
loop_
_atom_site_label
_atom_site_type_symbol
_atom_site_fract_x
_atom_site_fract_y
_atom_site_fract_z
_atom_site_occupancy
Ac1 Ac 0.003 0.000 0.234 1
Ac2 Ac 0.160 0.500 0.087 1
Ac3 Ac 0.169 0.500 0.575 1
Sn1 Sn 0.165 0.000 0.330 1
Te1 Te 0.000 0.500 0.500 1
Te2 Te 0.167 0.000 0.834 1
As1 As 0.000 0.500 0.000 1
```

ΔE_f (raw): -15.4 eV per formula unit


No. 4
The following is a DFT calculation (PBE) of a relaxed AcZnSnAs crystal.

The structure in CIF format:
```
data_AcZnSnAs
_space_group_name_H-M_alt 'F -4 3 m'
_space_group_IT_number 216
_space_group_name_Hall 'F -4 2 3'
_cell_length_a 7.464
_cell_length_b 7.464
_cell_length_c 7.464
_cell_angle_alpha 90.00
_cell_angle_beta 90.00
_cell_angle_gamma 90.00
loop_
_atom_site_label
_atom_site_type_symbol
_atom_site_fract_x
_atom_site_fract_y
_atom_site_fract_z
_atom_site_occupancy
Ac1 Ac 0.000 0.000 0.000 1
Zn1 Zn 0.250 0.250 0.250 1
Sn1 Sn 0.000 0.000 0.500 1
As1 As 0.250 0.250 0.750 1
```

ΔE_f: -1.5 eV/f.u.


No. 5
The following is a DFT calculation (PBE) of a relaxed SrAcAs2 crystal.

The structure in CIF format:
```
data_SrAcAs2
_space_group_name_H-M_alt 'R 3 m'
_space_group_IT_number 160
_space_group_name_Hall 'R 3 -2"'
_cell_length_a 4.5158
_cell_length_b 4.5158
_cell_length_c 22.6956
_cell_angle_alpha 90.00
_cell_angle_beta 90.00
_cell_angle_gamma 120.00
loop_
_atom_site_label
_atom_site_type_symbol
_atom_site_fract_x
_atom_site_fract_y
_atom_site_fract_z
_atom_site_occupancy
Sr1 Sr 0.0000 0.0000 0.0000 1
Ac1 Ac 0.0000 0.0000 0.1725 1
As1 As 0.0000 0.0000 0.5849 1
As2 As 0.0000 0.0000 0.7560 1
```

offset from the most stable computed form: 0.075 eV/atom
ΔE_f: -4.3 eV/f.u.


No. 6
The following is a DFT calculation (PBE) of a relaxed SrAcAs2 crystal.

The structure in CIF format:
```
data_SrAcAs2
_space_group_name_H-M_alt 'P 4/m m m'
_space_group_IT_number 123
_space_group_name_Hall '-P 4 2'
_cell_length_a 5.373
_cell_length_b 5.373
_cell_length_c 3.981
_cell_angle_alpha 90.00
_cell_angle_beta 90.00
_cell_angle_gamma 90.00
loop_
_atom_site_label
_atom_site_type_symbol
_atom_site_fract_x
_atom_site_fract_y
_atom_site_fract_z
_atom_site_occupancy
Sr1 Sr 0.000 0.000 0.000 1
Ac1 Ac 0.500 0.500 0.000 1
As1 As 0.000 0.500 0.500 1
```

offset from the most stable computed form: 0.150 eV/atom
ΔE_f: -4.0 eV/f.u.


No. 7
The following is a DFT calculation (PBE) of a relaxed SrAc3As crystal.

The structure in CIF format:
```
data_SrAc3As
_space_group_name_H-M_alt 'P m -3 m'
_space_group_IT_number 221
_space_group_name_Hall '-P 4 2 3'
_cell_length_a 6.149
_cell_length_b 6.149
_cell_length_c 6.149
_cell_angle_alpha 90.00
_cell_angle_beta 90.00
_cell_angle_gamma 90.00
loop_
_atom_site_label
_atom_site_type_symbol
_atom_site_fract_x
_atom_site_fract_y
_atom_site_fract_z
_atom_site_occupancy
Sr1 Sr 0.000 0.000 0.000 1
Ac1 Ac 0.000 0.500 0.500 1
As1 As 0.500 0.500 0.500 1
```

ΔE_f: -1.9 eV/f.u.


No. 8
The following is a DFT calculation (PBE) of a relaxed SrAcAs4 crystal.

The structure in CIF format:
```
data_SrAcAs4
_space_group_name_H-M_alt 'F -4 3 m'
_space_group_IT_number 216
_space_group_name_Hall 'F -4 2 3'
_cell_length_a 8.383
_cell_length_b 8.383
_cell_length_c 8.383
_cell_angle_alpha 90.00
_cell_angle_beta 90.00
_cell_angle_gamma 90.00
loop_
_atom_site_label
_atom_site_type_symbol
_atom_site_fract_x
_atom_site_fract_y
_atom_site_fract_z
_atom_site_occupancy
Sr1 Sr 0.000 0.000 0.000 1
Ac1 Ac 0.250 0.250 0.250 1
As1 As 0.126 0.126 0.626 1
```

ΔE_f: -3.2 eV/f.u.


No. 9
The following is a DFT calculation (PBE) of a relaxed SrAcAs2 crystal.

The structure in CIF format:
```
data_SrAcAs2
_space_group_name_H-M_alt 'F m -3 m'
_space_group_IT_number 225
_space_group_name_Hall '-F 4 2 3'
_cell_length_a 7.711
_cell_length_b 7.711
_cell_length_c 7.711
_cell_angle_alpha 90.00
_cell_angle_beta 90.00
_cell_angle_gamma 90.00
loop_
_atom_site_label
_atom_site_type_symbol
_atom_site_fract_x
_atom_site_fract_y
_atom_site_fract_z
_atom_site_occupancy
Sr1 Sr 0.000 0.000 0.000 1
Ac1 Ac 0.000 0.000 0.500 1
As1 As 0.250 0.250 0.250 1
```

offset from the most stable computed form: 0.149 eV/atom
ΔE_f: -4.0 eV/f.u.


No. 10
The following is a DFT calculation (PBE) of a relaxed Sr3AcAs3 crystal.

The structure in CIF format:
```
data_Sr3AcAs3
_space_group_name_H-M_alt 'P 21 3'
_space_group_IT_number 198
_space_group_name_Hall 'P 2ac 2ab 3'
_cell_length_a 9.562
_cell_length_b 9.562
_cell_length_c 9.562
_cell_angle_alpha 90.00
_cell_angle_beta 90.00
_cell_angle_gamma 90.00
loop_
_atom_site_label
_atom_site_type_symbol
_atom_site_fract_x
_atom_site_fract_y
_atom_site_fract_z
_atom_site_occupancy
Sr1 Sr 0.062 0.438 0.562 1
Sr2 Sr 0.182 0.182 0.182 1
Sr3 Sr 0.186 0.814 0.314 1
Ac1 Ac 0.065 0.565 0.935 1
As1 As 0.000 0.253 0.871 1
```

ΔE_f: -8.7 eV/f.u.


No. 11
The following is a DFT calculation (PBE) of a relaxed SrAc4As5 crystal.

The structure in CIF format:
```
data_SrAc4As5
_space_group_name_H-M_alt 'I 4/m m m'
_space_group_IT_number 139
_space_group_name_Hall '-I 4 2'
_cell_length_a 4.540
_cell_length_b 4.540
_cell_length_c 32.166
_cell_angle_alpha 90.00
_cell_angle_beta 90.00
_cell_angle_gamma 90.00
loop_
_atom_site_label
_atom_site_type_symbol
_atom_site_fract_x
_atom_site_fract_y
_atom_site_fract_z
_atom_site_occupancy
Sr1 Sr 0.000 0.000 0.000 1
Ac1 Ac 0.000 0.000 0.200 1
Ac2 Ac 0.000 0.000 0.402 1
As1 As 0.000 0.000 0.102 1
As2 As 0.000 0.000 0.300 1
As3 As 0.000 0.000 0.500 1
```

ΔE_f: -13.5 eV/f.u.


No. 12
The following is a DFT calculation (PBE) of a relaxed SrAcAs2 crystal.

The structure in CIF format:
```
data_SrAcAs2
_space_group_name_H-M_alt 'R -3 m'
_space_group_IT_number 166
_space_group_name_Hall '-R 3 2"'
_cell_length_a 4.5462
_cell_length_b 4.5462
_cell_length_c 22.0680
_cell_angle_alpha 90.00
_cell_angle_beta 90.00
_cell_angle_gamma 120.00
loop_
_atom_site_label
_atom_site_type_symbol
_atom_site_fract_x
_atom_site_fract_y
_atom_site_fract_z
_atom_site_occupancy
Sr1 Sr 0.0000 0.0000 0.0000 1
Ac1 Ac 0.0000 0.0000 0.5000 1
As1 As 0.0000 0.0000 0.2481 1
```

offset from the most stable computed form: 0.000 eV/atom
ΔE_f: -4.6 eV/f.u.


No. 13
The following is a DFT calculation (PBE) of a relaxed SrAc2TbAs4 crystal.

The structure in CIF format:
```
data_SrAc2TbAs4
_space_group_name_H-M_alt 'P 1 2/m 1'
_space_group_IT_number 10
_cell_length_a 7.595
_cell_length_b 4.447
_cell_length_c 7.738
_cell_angle_alpha 90.00
_cell_angle_beta 109.65
_cell_angle_gamma 90.00
loop_
_space_group_symop_operation_xyz
'x,y,z'
'-x,-y,-z'
'-x,y,-z'
'x,-y,z'
loop_
_atom_site_label
_atom_site_type_symbol
_atom_site_fract_x
_atom_site_fract_y
_atom_site_fract_z
_atom_site_occupancy
Sr1 Sr 0.000 0.000 0.000 1
Ac1 Ac 0.500 0.000 0.500 1
Ac2 Ac 0.500 0.500 0.000 1
Tb1 Tb 0.000 0.500 0.500 1
As1 As 0.235 0.000 0.735 1
As2 As 0.242 0.500 0.259 1
```

ΔE_f: -10.4 eV/f.u.